# CaLaFeBiO6, relaxed, DFT GGA+U
# Crystal system = tetragonal
# Total energy = -6.4995 eV per atom
data_CaLaFeBiO6
_chemical_formula_sum 'Ca2 La2 Fe2 Bi2 O12'
_space_group_name_H-M_alt 'P -4 n 2'
_space_group_IT_number 118
_cell_length_a 5.850
_cell_length_b 5.850
_cell_length_c 8.350
_cell_angle_alpha 90.00
_cell_angle_beta 90.00
_cell_angle_gamma 90.00
loop_
_space_group_symop_operation_xyz
'x,y,z'
'y,-x,-z'
'-x,-y,z'
'-y,x,-z'
'-x+1/2,y+1/2,z+1/2'
'-y+1/2,-x+1/2,-z+1/2'
'x+1/2,-y+1/2,z+1/2'
'y+1/2,x+1/2,-z+1/2'
loop_
_atom_site_label
_atom_site_fract_x
_atom_site_fract_y
_atom_site_fract_z
Ca1 0.000 0.500 0.250
La1 0.000 0.000 0.500
Fe1 0.000 0.000 0.000
Bi1 0.000 0.500 0.750
O1 0.000 0.000 0.230
O2 0.141 0.312 0.995